w:
Crystalline HfSbIO2 at its relaxed geometry, computed with GGA-PBE.

Results
DOS at the Fermi energy	5.06	states/eV/f.u.

a = 4.0904 Å, b = 4.0904 Å, c = 7.0942 Å
α = 90.00°, β = 90.00°, γ = 90.00°
Fractional coordinates of all 5 atoms:
O  0.0000  0.5000  0.0000
O  0.5000  0.0000  0.0000
Sb  0.0000  0.0000  0.0000
Hf  0.5000  0.5000  0.5000
I  0.0000  0.0000  0.5000

***

x:
Crystalline HfSbIO2 at its relaxed geometry, computed with GGA-PBE.

Results
DOS at the Fermi energy	1.14	states/eV/f.u.

a = 4.1863 Å, b = 4.1863 Å, c = 6.1409 Å
α = 90.00°, β = 90.00°, γ = 90.00°
Fractional coordinates of all 5 atoms:
I  0.0000  0.0000  0.5000
O  0.0000  0.5000  0.0000
O  0.5000  0.0000  0.0000
Sb  0.5000  0.5000  0.5000
Hf  0.0000  0.0000  0.0000

***

Which one sits at the bottom of the stability order? w does.

***

w:
Crystalline HfSb2IO at its relaxed geometry, computed with GGA-PBE.

Results
DOS at the Fermi energy	2.08	states/eV/f.u.

a = 4.4671 Å, b = 4.4671 Å, c = 5.7623 Å
α = 90.00°, β = 90.00°, γ = 90.00°
Fractional coordinates of all 5 atoms:
Sb  0.5000  0.0000  0.0000
Sb  0.0000  0.5000  0.0000
I  0.0000  0.0000  0.5000
Hf  0.5000  0.5000  0.5000
O  0.0000  0.0000  0.0000

***

x:
Crystalline HfSb2IO at its relaxed geometry, computed with GGA-PBE.

Results
DOS at the Fermi energy	10.51	states/eV/f.u.

a = 5.5257 Å, b = 5.5257 Å, c = 5.4481 Å
α = 90.00°, β = 90.00°, γ = 90.00°
Fractional coordinates of all 5 atoms:
Sb  0.5000  0.0000  0.0000
Sb  0.0000  0.5000  0.0000
Hf  0.0000  0.0000  0.0000
O  0.5000  0.5000  0.5000
I  0.0000  0.0000  0.5000

***

Which one sits at the bottom of the stability order? x does.

***

w:
Crystalline HfScIO2 at its relaxed geometry, computed with GGA-PBE.

Results
DOS at the Fermi energy	4.08	states/eV/f.u.

a = 4.0857 Å, b = 4.0857 Å, c = 6.0978 Å
α = 90.00°, β = 90.00°, γ = 90.00°
Fractional coordinates of all 5 atoms:
Hf  0.0000  0.0000  0.0000
I  0.0000  0.0000  0.5000
O  0.0000  0.5000  0.0000
O  0.5000  0.0000  0.0000
Sc  0.5000  0.5000  0.5000

***

x:
Crystalline HfScIO2 at its relaxed geometry, computed with GGA-PBE.

Results
DOS at the Fermi energy	3.66	states/eV/f.u.

a = 4.1145 Å, b = 4.1145 Å, c = 5.5515 Å
α = 90.00°, β = 90.00°, γ = 90.00°
Fractional coordinates of all 5 atoms:
Hf  0.5000  0.5000  0.5000
I  0.0000  0.0000  0.5000
O  0.0000  0.5000  0.0000
O  0.5000  0.0000  0.0000
Sc  0.0000  0.0000  0.0000

***

Which one sits at the bottom of the stability order? x does.

***

w:
Crystalline HfSeI2O at its relaxed geometry, computed with GGA-PBE.

Results
DOS at the Fermi energy	3.61	states/eV/f.u.

a = 5.8642 Å, b = 5.8642 Å, c = 3.9661 Å
α = 90.00°, β = 90.00°, γ = 90.00°
Fractional coordinates of all 5 atoms:
Se  0.5000  0.5000  0.5000
Hf  0.0000  0.0000  0.0000
I  0.5000  0.0000  0.0000
I  0.0000  0.5000  0.0000
O  0.0000  0.0000  0.5000

***

x:
Crystalline HfSeI2O at its relaxed geometry, computed with GGA-PBE.

Results
DOS at the Fermi energy	4.76	states/eV/f.u.

a = 5.8017 Å, b = 5.8017 Å, c = 3.7601 Å
α = 90.00°, β = 90.00°, γ = 90.00°
Fractional coordinates of all 5 atoms:
O  0.0000  0.0000  0.5000
I  0.5000  0.0000  0.0000
I  0.0000  0.5000  0.0000
Se  0.0000  0.0000  0.0000
Hf  0.5000  0.5000  0.5000

***

Which one sits at the bottom of the stability order? x does.

***

w:
Crystalline HfSnIO2 at its relaxed geometry, computed with GGA-PBE.

Results
DOS at the Fermi energy	4.35	states/eV/f.u.

a = 4.1074 Å, b = 4.1074 Å, c = 6.3982 Å
α = 90.00°, β = 90.00°, γ = 90.00°
Fractional coordinates of all 5 atoms:
I  0.0000  0.0000  0.5000
Sn  0.0000  0.0000  0.0000
O  0.5000  0.0000  0.0000
O  0.0000  0.5000  0.0000
Hf  0.5000  0.5000  0.5000

***

x:
Crystalline HfSnIO2 at its relaxed geometry, computed with GGA-PBE.

Results
DOS at the Fermi energy	3.70	states/eV/f.u.

a = 4.2141 Å, b = 4.2141 Å, c = 6.0126 Å
α = 90.00°, β = 90.00°, γ = 90.00°
Fractional coordinates of all 5 atoms:
O  0.5000  0.0000  0.0000
O  0.0000  0.5000  0.0000
I  0.0000  0.0000  0.5000
Sn  0.5000  0.5000  0.5000
Hf  0.0000  0.0000  0.0000

***

Which one sits at the bottom of the stability order? w does.

***

w:
Crystalline HfTaIO2 at its relaxed geometry, computed with GGA-PBE.

Results
DOS at the Fermi energy	4.50	states/eV/f.u.

a = 3.9561 Å, b = 3.9561 Å, c = 6.8899 Å
α = 90.00°, β = 90.00°, γ = 90.00°
Fractional coordinates of all 5 atoms:
Ta  0.0000  0.0000  0.0000
Hf  0.5000  0.5000  0.5000
O  0.5000  0.0000  0.0000
O  0.0000  0.5000  0.0000
I  0.0000  0.0000  0.5000

***

x:
Crystalline HfTaIO2 at its relaxed geometry, computed with GGA-PBE.

Results
DOS at the Fermi energy	4.74	states/eV/f.u.

a = 4.0625 Å, b = 4.0625 Å, c = 6.1976 Å
α = 90.00°, β = 90.00°, γ = 90.00°
Fractional coordinates of all 5 atoms:
Hf  0.0000  0.0000  0.0000
I  0.0000  0.0000  0.5000
Ta  0.5000  0.5000  0.5000
O  0.5000  0.0000  0.0000
O  0.0000  0.5000  0.0000

***

Which one sits at the bottom of the stability order? w does.

***

w:
Crystalline HfTaI2O at its relaxed geometry, computed with GGA-PBE.

Results
DOS at the Fermi energy	4.93	states/eV/f.u.

a = 5.7423 Å, b = 5.7423 Å, c = 3.8256 Å
α = 90.00°, β = 90.00°, γ = 90.00°
Fractional coordinates of all 5 atoms:
I  0.5000  0.0000  0.0000
I  0.0000  0.5000  0.0000
Ta  0.0000  0.0000  0.0000
Hf  0.5000  0.5000  0.5000
O  0.0000  0.0000  0.5000

***

x:
Crystalline HfTaI2O at its relaxed geometry, computed with GGA-PBE.

Results
DOS at the Fermi energy	3.19	states/eV/f.u.

a = 5.7650 Å, b = 5.7650 Å, c = 3.8876 Å
α = 90.00°, β = 90.00°, γ = 90.00°
Fractional coordinates of all 5 atoms:
I  0.5000  0.0000  0.0000
I  0.0000  0.5000  0.0000
O  0.0000  0.0000  0.5000
Ta  0.5000  0.5000  0.5000
Hf  0.0000  0.0000  0.0000

***

Which one sits at the bottom of the stability order? w does.

***

w:
Crystalline HfTeIO2 at its relaxed geometry, computed with GGA-PBE.

Results
DOS at the Fermi energy	5.46	states/eV/f.u.

a = 4.1182 Å, b = 4.1182 Å, c = 7.4588 Å
α = 90.00°, β = 90.00°, γ = 90.00°
Fractional coordinates of all 5 atoms:
I  0.0000  0.0000  0.5000
O  0.0000  0.5000  0.0000
O  0.5000  0.0000  0.0000
Hf  0.5000  0.5000  0.5000
Te  0.0000  0.0000  0.0000

***

x:
Crystalline HfTeIO2 at its relaxed geometry, computed with GGA-PBE.

Results
DOS at the Fermi energy	3.64	states/eV/f.u.

a = 4.1509 Å, b = 4.1509 Å, c = 6.4860 Å
α = 90.00°, β = 90.00°, γ = 90.00°
Fractional coordinates of all 5 atoms:
I  0.0000  0.0000  0.5000
Hf  0.0000  0.0000  0.0000
O  0.5000  0.0000  0.0000
O  0.0000  0.5000  0.0000
Te  0.5000  0.5000  0.5000

***

Which one sits at the bottom of the stability order? w does.